Entry a
Rb2MgBr | PBE-GGA | relaxed

Calculated values
V, Å³/cell: 188
SG: Fm-3m (225)
Total magnetization, μB per cell: 0.0
Calculated density, kg/m3: 2434

Geometry as extended XYZ:
```
4
Lattice="0.000 4.545 4.545 4.545 0.000 4.545 4.545 4.545 0.000" Properties=species:S:1:pos:R:3 pbc="T T T"
Rb 2.272 2.272 2.272
Rb 6.817 6.817 6.817
Mg 0.000 0.000 0.000
Br 4.545 4.545 4.545
```

Entry b
Rb2MgBr | PBE-GGA | relaxed

Calculated values
V, Å³/cell: 453
SG: I-42d (122)
Total magnetization, μB per cell: 0.0
Calculated density, kg/m3: 2016

Geometry as extended XYZ:
```
8
Lattice="-4.920 4.920 4.682 4.920 -4.920 4.682 4.920 4.920 -4.682" Properties=species:S:1:pos:R:3 pbc="T T T"
Rb 2.460 1.916 -1.170
Rb 3.003 -2.460 5.852
Rb 2.460 3.003 3.511
Rb 1.916 7.380 1.170
Mg 4.920 0.000 2.341
Mg 0.000 0.000 4.682
Br 0.000 0.000 0.000
Br 0.000 4.920 2.341
```

The energetic minimum among the shown structures is entry b; the next structure lies 0.071 eV/atom above.